Entry 1:
This record from OQMD describes an optimized crystal structure of PmSe3. The functional is PBE-GGA.

Summary:
DFT total energy: -4.09 eV/atom
calculated density: 3.9 Mg/m³
space-group type: P4/mmm, No. 123

```
data_PmSe3
_symmetry_space_group_name_H-M 'P 1'
_symmetry_Int_Tables_number 1
_cell_length_a 5.396
_cell_length_b 5.396
_cell_length_c 11.222
_cell_angle_alpha 90.00
_cell_angle_beta 90.00
_cell_angle_gamma 90.00
loop_
_symmetry_equiv_pos_as_xyz
'x,y,z'
loop_
_atom_site_label
_atom_site_type_symbol
_atom_site_fract_x
_atom_site_fract_y
_atom_site_fract_z
Pm1 Pm 0.000 0.000 0.000
Pm2 Pm 0.000 0.000 0.500
Se1 Se 0.000 0.000 0.241
Se2 Se 0.000 0.000 0.759
Se3 Se 0.000 0.500 0.500
Se4 Se 0.500 0.000 0.500
Se5 Se 0.500 0.500 0.104
Se6 Se 0.500 0.500 0.896
```

***

Entry 2:
This record from OQMD describes an optimized crystal structure of PmSe. The functional is PBE-GGA.

Summary:
DFT total energy: -5.95 eV/atom
excess energy over the best structure of this formula in the dataset: 0.000 eV/atom
calculated density: 7.2 Mg/m³
space-group type: R-3m, No. 166

```
data_PmSe
_symmetry_space_group_name_H-M 'P 1'
_symmetry_Int_Tables_number 1
_cell_length_a 4.206
_cell_length_b 4.206
_cell_length_c 4.206
_cell_angle_alpha 59.44
_cell_angle_beta 59.44
_cell_angle_gamma 59.44
loop_
_symmetry_equiv_pos_as_xyz
'x,y,z'
loop_
_atom_site_label
_atom_site_type_symbol
_atom_site_fract_x
_atom_site_fract_y
_atom_site_fract_z
Pm1 Pm 0.000 0.000 0.000
Se1 Se 0.500 0.500 0.500
```

***

Entry 3:
This record from OQMD describes an optimized crystal structure of PmSe. The functional is PBE-GGA.

Summary:
DFT total energy: -5.95 eV/atom
excess energy over the best structure of this formula in the dataset: 0.000 eV/atom
calculated density: 7.1 Mg/m³
space-group type: Fm-3m, No. 225

```
data_PmSe
_symmetry_space_group_name_H-M 'P 1'
_symmetry_Int_Tables_number 1
_cell_length_a 4.191
_cell_length_b 4.191
_cell_length_c 4.191
_cell_angle_alpha 60.00
_cell_angle_beta 60.00
_cell_angle_gamma 60.00
loop_
_symmetry_equiv_pos_as_xyz
'x,y,z'
loop_
_atom_site_label
_atom_site_type_symbol
_atom_site_fract_x
_atom_site_fract_y
_atom_site_fract_z
Pm1 Pm 0.000 0.000 0.000
Se1 Se 0.500 0.500 0.500
```

***

Entry 4:
This record from OQMD describes an optimized crystal structure of PmSe. The functional is PBE-GGA.

Summary:
DFT total energy: -5.49 eV/atom
excess energy over the best structure of this formula in the dataset: 0.465 eV/atom
calculated density: 5.3 Mg/m³
space-group type: F-43m, No. 216

```
data_PmSe
_symmetry_space_group_name_H-M 'P 1'
_symmetry_Int_Tables_number 1
_cell_length_a 4.640
_cell_length_b 4.640
_cell_length_c 4.640
_cell_angle_alpha 60.00
_cell_angle_beta 60.00
_cell_angle_gamma 60.00
loop_
_symmetry_equiv_pos_as_xyz
'x,y,z'
loop_
_atom_site_label
_atom_site_type_symbol
_atom_site_fract_x
_atom_site_fract_y
_atom_site_fract_z
Pm1 Pm 0.000 0.000 0.000
Se1 Se 0.750 0.750 0.750
```

***

Entry 5:
This record from OQMD describes an optimized crystal structure of Pm2Se3. The functional is PBE-GGA.

Summary:
DFT total energy: -5.70 eV/atom
calculated density: 6.8 Mg/m³
space-group type: P4/nmm, No. 129

```
data_Pm2Se3
_symmetry_space_group_name_H-M 'P 1'
_symmetry_Int_Tables_number 1
_cell_length_a 4.161
_cell_length_b 4.161
_cell_length_c 14.831
_cell_angle_alpha 90.00
_cell_angle_beta 90.00
_cell_angle_gamma 90.00
loop_
_symmetry_equiv_pos_as_xyz
'x,y,z'
loop_
_atom_site_label
_atom_site_type_symbol
_atom_site_fract_x
_atom_site_fract_y
_atom_site_fract_z
Pm1 Pm 0.250 0.250 0.092
Pm2 Pm 0.250 0.250 0.648
Pm3 Pm 0.750 0.750 0.352
Pm4 Pm 0.750 0.750 0.908
Se1 Se 0.250 0.250 0.292
Se2 Se 0.250 0.250 0.888
Se3 Se 0.250 0.750 0.500
Se4 Se 0.750 0.250 0.500
Se5 Se 0.750 0.750 0.112
Se6 Se 0.750 0.750 0.708
```

***

Entry 6:
This record from OQMD describes an optimized crystal structure of PmSe. The functional is PBE-GGA.

Summary:
DFT total energy: -5.85 eV/atom
excess energy over the best structure of this formula in the dataset: 0.100 eV/atom
calculated density: 7.0 Mg/m³
space-group type: P-6m2, No. 187

```
data_PmSe
_symmetry_space_group_name_H-M 'P 1'
_symmetry_Int_Tables_number 1
_cell_length_a 3.968
_cell_length_b 3.968
_cell_length_c 3.882
_cell_angle_alpha 90.00
_cell_angle_beta 90.00
_cell_angle_gamma 120.00
loop_
_symmetry_equiv_pos_as_xyz
'x,y,z'
loop_
_atom_site_label
_atom_site_type_symbol
_atom_site_fract_x
_atom_site_fract_y
_atom_site_fract_z
Pm1 Pm 0.000 0.000 0.000
Se1 Se 0.667 0.333 0.500
```

***

Entry 7:
This record from OQMD describes an optimized crystal structure of PmSe. The functional is PBE-GGA.

Summary:
DFT total energy: -5.87 eV/atom
excess energy over the best structure of this formula in the dataset: 0.086 eV/atom
calculated density: 7.0 Mg/m³
space-group type: P6_3/mmc, No. 194

```
data_PmSe
_symmetry_space_group_name_H-M 'P 1'
_symmetry_Int_Tables_number 1
_cell_length_a 4.102
_cell_length_b 4.102
_cell_length_c 7.301
_cell_angle_alpha 90.00
_cell_angle_beta 90.00
_cell_angle_gamma 120.00
loop_
_symmetry_equiv_pos_as_xyz
'x,y,z'
loop_
_atom_site_label
_atom_site_type_symbol
_atom_site_fract_x
_atom_site_fract_y
_atom_site_fract_z
Pm1 Pm 0.000 0.000 0.000
Pm2 Pm 0.000 0.000 0.500
Se1 Se 0.333 0.667 0.250
Se2 Se 0.667 0.333 0.750
```

***

Entry 8:
This record from OQMD describes an optimized crystal structure of PmSe2. The functional is PBE-GGA.

Summary:
DFT total energy: -4.19 eV/atom
excess energy over the best structure of this formula in the dataset: 0.542 eV/atom
calculated density: 7.0 Mg/m³
space-group type: Fd-3m, No. 227

```
data_PmSe2
_symmetry_space_group_name_H-M 'P 1'
_symmetry_Int_Tables_number 1
_cell_length_a 5.879
_cell_length_b 5.879
_cell_length_c 5.879
_cell_angle_alpha 60.00
_cell_angle_beta 60.00
_cell_angle_gamma 60.00
loop_
_symmetry_equiv_pos_as_xyz
'x,y,z'
loop_
_atom_site_label
_atom_site_type_symbol
_atom_site_fract_x
_atom_site_fract_y
_atom_site_fract_z
Pm1 Pm 0.125 0.125 0.125
Pm2 Pm 0.875 0.875 0.875
Se1 Se 0.000 0.500 0.500
Se2 Se 0.500 0.000 0.500
Se3 Se 0.500 0.500 0.000
Se4 Se 0.500 0.500 0.500
```

***

Look up the DFT total energy of the first one.
-4.09 eV/atom

***

Which value of calculated density does entry 3 give?
7.1 Mg/m³

***

DFT total energy of number 1 (PmSe3)?
-4.09 eV/atom

***

Please write out number 4 again, unchanged.
This record from OQMD describes an optimized crystal structure of PmSe. The functional is PBE-GGA.

Summary:
DFT total energy: -5.49 eV/atom
excess energy over the best structure of this formula in the dataset: 0.465 eV/atom
calculated density: 5.3 Mg/m³
space-group type: F-43m, No. 216

```
data_PmSe
_symmetry_space_group_name_H-M 'P 1'
_symmetry_Int_Tables_number 1
_cell_length_a 4.640
_cell_length_b 4.640
_cell_length_c 4.640
_cell_angle_alpha 60.00
_cell_angle_beta 60.00
_cell_angle_gamma 60.00
loop_
_symmetry_equiv_pos_as_xyz
'x,y,z'
loop_
_atom_site_label
_atom_site_type_symbol
_atom_site_fract_x
_atom_site_fract_y
_atom_site_fract_z
Pm1 Pm 0.000 0.000 0.000
Se1 Se 0.750 0.750 0.750
```